Record 1
Computed, not measured: a PBEsol-optimized structure of BaRhSe2N at the SCAN level of DFT.

Values from the calculation:
Formation energy without anion corrections = 1.542 eV per atom
VASP energy = -115.06 eV/cell
Symmetry = P4/mmm, No. 123

a = 4.4341 Å, b = 5.8345 Å, c = 5.8345 Å
α = 90.00°, β = 90.00°, γ = 90.00°
With the nearest neighbours (Å) after each atom.
Fractional coordinates of all 5 atoms:
Rh  0.5000  0.5000  0.5000  8 Se 3.66
Ba  0.0000  0.0000  0.0000  2 N 2.22
Se  0.0000  0.0000  0.5000  2 Ba 2.92
Se  0.0000  0.5000  0.0000  2 Ba 2.92
N  0.5000  0.0000  0.0000  2 Ba 2.22

***

Record 2
Computed, not measured: a PBEsol-optimized structure of HgSbBr at the SCAN level of DFT.

Values from the calculation:
Formation energy without anion corrections = 0.049 eV per atom
VASP energy = -124.74 eV/cell
Symmetry = Fmm2, No. 42

a = 3.4853 Å, b = 3.4853 Å, c = 7.2868 Å
α = 97.59°, β = 97.59°, γ = 116.61°
With the nearest neighbours (Å) after each atom.
Fractional coordinates of all 3 atoms:
Sb  0.3321  0.3321  0.6642  2 Hg 2.99, 2 Br 3.03
Hg  0.6647  0.6647  0.3294  2 Br 2.92, 2 Sb 2.99
Br  0.0032  0.0032  0.0064  2 Hg 2.92, 2 Sb 3.03

***

Record 3
Computed, not measured: a PBEsol-optimized structure of SrSi2Ni at the SCAN level of DFT.

Values from the calculation:
Formation energy without anion corrections = -0.487 eV per atom
VASP energy = -60.43 eV/cell
Symmetry = Cm, No. 8

a = 3.8938 Å, b = 3.9042 Å, c = 6.1617 Å
α = 108.52°, β = 90.00°, γ = 119.91°
With the nearest neighbours (Å) after each atom.
Fractional coordinates of all 4 atoms:
Sr  0.4954  0.9909  0.4876  4 Ni 3.12-3.46, 7 Si 3.17-3.48
Si  0.0327  0.0654  0.0993  3 Ni 2.29
Si  0.2944  0.5888  0.8813  3 Ni 2.41, 3 Si 2.57-2.59
Ni  0.6775  0.3549  0.0318  6 Si 2.29-2.41

***

Record 4
Computed, not measured: a PBEsol-optimized structure of CoSeCl at the SCAN level of DFT.

Values from the calculation:
Formation energy without anion corrections = -0.614 eV per atom
VASP energy = -47.20 eV/cell
Symmetry = P3m1, No. 156

a = 3.3301 Å, b = 3.3301 Å, c = 5.8932 Å
α = 90.00°, β = 90.00°, γ = 120.00°
With the nearest neighbours (Å) after each atom.
Fractional coordinates of all 3 atoms:
Co  0.3333  0.6667  0.6608  3 Se 2.29, 3 Cl 2.35
Se  0.6667  0.3333  0.4504  3 Co 2.29
Cl  0.0000  0.0000  0.8889  3 Co 2.35

***

Record 5
Computed, not measured: a PBEsol-optimized structure of ScTa2PO at the SCAN level of DFT.

Values from the calculation:
Formation energy without anion corrections = -0.734 eV per atom
VASP energy = -167.71 eV/cell
Symmetry = P4/mmm, No. 123

a = 4.1001 Å, b = 4.1001 Å, c = 4.3135 Å
α = 90.00°, β = 90.00°, γ = 90.00°
With the nearest neighbours (Å) after each atom.
Fractional coordinates of all 5 atoms:
Sc  0.0000  0.0000  0.5000  2 O 2.16
P  0.5000  0.5000  0.5000  4 Sc 2.90, 8 Ta 2.98
O  0.0000  0.0000  0.0000  4 Ta 2.05, 2 Sc 2.16
Ta  0.0000  0.5000  0.0000  2 O 2.05
Ta  0.5000  0.0000  0.0000  2 O 2.05

***

Record 6
Computed, not measured: a PBEsol-optimized structure of PdSCl at the SCAN level of DFT.

Values from the calculation:
Formation energy without anion corrections = -0.474 eV per atom
VASP energy = -621.61 eV/cell
Symmetry = P2_1/m, No. 11

a = 7.6315 Å, b = 9.2893 Å, c = 11.8942 Å
α = 90.00°, β = 90.00°, γ = 110.48°
With the nearest neighbours (Å) after each atom.
Fractional coordinates of all 36 atoms:
Pd  0.8540  0.8774  0.6290  2 S 2.27, 2 Cl 2.37
Pd  0.1460  0.1226  0.1290  2 S 2.27, 2 Cl 2.37
Pd  0.1460  0.1226  0.3710  2 S 2.27, 2 Cl 2.37
Pd  0.8540  0.8774  0.8710  2 S 2.27, 2 Cl 2.37
Pd  0.5632  0.5265  0.6272  2 S 2.28, 2 Cl 2.37-2.38
Pd  0.4368  0.4735  0.1272  2 S 2.28, 2 Cl 2.37-2.38
Pd  0.4368  0.4735  0.3728  2 S 2.28, 2 Cl 2.37-2.38
Pd  0.5632  0.5265  0.8728  2 S 2.28, 2 Cl 2.37-2.38
Pd  0.1255  0.7841  0.7500  2 S 2.27, 2 Cl 2.37
Pd  0.8745  0.2159  0.2500  2 S 2.27, 2 Cl 2.37
Pd  0.8308  0.4320  0.7500  2 S 2.27, 2 Cl 2.37
Pd  0.1692  0.5680  0.2500  2 S 2.27, 2 Cl 2.37
S  0.0261  0.5903  0.8774  1 S 2.13, 2 Pd 2.27
S  0.1708  0.3388  0.4684  1 S 2.13, 2 Pd 2.27-2.28
S  0.8292  0.6612  0.9684  1 S 2.13, 2 Pd 2.27-2.28
S  0.9739  0.4097  0.3774  1 S 2.13, 2 Pd 2.27
S  0.8292  0.6612  0.5316  1 S 2.13, 2 Pd 2.27-2.28
S  0.0261  0.5903  0.6226  1 S 2.13, 2 Pd 2.27
S  0.9739  0.4097  0.1226  1 S 2.13, 2 Pd 2.27
S  0.5424  0.7620  0.6604  1 S 2.13, 2 Pd 2.27-2.28
S  0.4576  0.2380  0.1604  1 S 2.13, 2 Pd 2.27-2.28
S  0.4576  0.2380  0.3396  1 S 2.13, 2 Pd 2.27-2.28
S  0.5424  0.7620  0.8396  1 S 2.13, 2 Pd 2.27-2.28
S  0.1708  0.3388  0.0316  1 S 2.13, 2 Pd 2.27-2.28
Cl  0.6276  0.2958  0.6047  2 Pd 2.37-2.38
Cl  0.6276  0.2958  0.8953  2 Pd 2.37-2.38
Cl  0.3724  0.7042  0.3953  2 Pd 2.37-2.38
Cl  0.3068  0.4118  0.7500  2 Pd 2.37
Cl  0.6932  0.5882  0.2500  2 Pd 2.37
Cl  0.8166  0.0313  0.1038  2 Pd 2.37
Cl  0.1408  0.9186  0.2500  2 Pd 2.37
Cl  0.1834  0.9687  0.8962  2 Pd 2.37
Cl  0.8166  0.0313  0.3962  2 Pd 2.37
Cl  0.8592  0.0814  0.7500  2 Pd 2.37
Cl  0.3724  0.7042  0.1047  2 Pd 2.37-2.38
Cl  0.1834  0.9687  0.6038  2 Pd 2.37